(1)
Material: SrBe2B2O6
Method: DFT, GGA-PBE
State: optimized geometry

Summary:
Symmetry ... P2_1/c, No. 14
Crystal system ... monoclinic
Formation energy from raw total energies ... -2736 meV/atom

Lattice parameters (Å, degrees): 9.316 4.523 11.974 90.00 114.48 90.00
Fractional coordinates of all 44 atoms:
Sr 0.228 0.028 0.153
Sr 0.228 0.472 0.653
Sr 0.772 0.528 0.347
Sr 0.772 0.972 0.847
Be 0.091 0.564 0.306
Be 0.091 0.936 0.806
Be 0.422 0.597 0.047
Be 0.422 0.903 0.547
Be 0.578 0.097 0.453
Be 0.578 0.403 0.953
Be 0.909 0.064 0.194
Be 0.909 0.436 0.694
B 0.130 0.094 0.423
B 0.130 0.406 0.923
B 0.405 0.561 0.355
B 0.405 0.939 0.855
B 0.595 0.061 0.145
B 0.595 0.439 0.645
B 0.870 0.594 0.077
B 0.870 0.906 0.577
O 0.060 0.579 0.817
O 0.060 0.921 0.317
O 0.078 0.118 0.920
O 0.078 0.382 0.420
O 0.246 0.511 0.030
O 0.246 0.989 0.530
O 0.248 0.005 0.786
O 0.248 0.495 0.286
O 0.442 0.666 0.915
O 0.442 0.834 0.415
O 0.479 0.630 0.641
O 0.479 0.870 0.141
O 0.521 0.130 0.859
O 0.521 0.370 0.359
O 0.558 0.166 0.585
O 0.558 0.334 0.085
O 0.752 0.505 0.714
O 0.752 0.995 0.214
O 0.754 0.011 0.470
O 0.754 0.489 0.970
O 0.922 0.618 0.580
O 0.922 0.882 0.080
O 0.940 0.079 0.683
O 0.940 0.421 0.183


(2)
Material: TmBe2B2O7
Method: DFT, GGA-PBE
State: optimized geometry

Summary:
Symmetry ... R32, No. 155
Crystal system ... trigonal
Formation energy from raw total energies ... -2558 meV/atom

Lattice parameters (Å, degrees): 7.201 7.201 7.201 37.92 37.92 37.92
Fractional coordinates of all 12 atoms:
Tm 0.000 0.000 0.000
Be 0.254 0.254 0.254
Be 0.746 0.746 0.746
B 0.427 0.427 0.427
B 0.573 0.573 0.573
O 0.088 0.440 0.683
O 0.317 0.560 0.912
O 0.440 0.683 0.088
O 0.500 0.500 0.500
O 0.560 0.912 0.317
O 0.683 0.088 0.440
O 0.912 0.317 0.560